Record 1
A plane-wave DFT calculation with PBE was carried out for Mo2PAu after structural relaxation.

The value obtained for the formation energy is 0.0700 eV/atom.

The space group is Immm (No. 71) and the conventional cell measures 3.334, 4.664 and 8.118 Å, with angles of 90.00, 90.00 and 90.00 degrees. The distinct sites, in fractional coordinates, are Mo at (0.000, 0.000, 0.205), P at (0.000, 0.500, 0.500) and Au at (0.000, 0.500, 0.000).

***

Record 2
A plane-wave DFT calculation with PBE was carried out for Hf2Al4Au after structural relaxation.

The calculation puts the relative energy among the computed polymorphs at 0.0 kJ/mol of formula units. The value obtained for the formation energy is -0.2190 eV/atom.

The space group is Fmm2 (No. 42) and the conventional cell measures 8.165, 8.203 and 8.092 Å, with angles of 90.00, 90.00 and 90.00 degrees. The distinct sites, in fractional coordinates, are Hf at (0.250, 0.250, 0.000), Al at (0.000, 0.248, 0.250), Al at (0.248, 0.000, 0.750) and Au at (0.000, 0.000, 0.000).

***

Calculated values (μB/f.u.) of total moment for the records, taken in order: 0.0 0.0.